1.
! PBE AcTbGa2Pd5, relaxed; values from VASP
&SYSTEM
  ibrav = 0, nat = 9, ntyp = 4
/
ATOMIC_SPECIES
Ac 227.00 Ac.upf
Tb 158.93 Tb.upf
Ga 69.72 Ga.upf
Pd 106.42 Pd.upf
ATOMIC_POSITIONS crystal
Ac 0.000 0.000 0.000
Tb 0.000 0.000 0.500
Ga 0.500 0.500 0.366
Ga 0.500 0.500 0.634
Pd 0.000 0.500 0.235
Pd 0.000 0.500 0.765
Pd 0.500 0.000 0.235
Pd 0.500 0.000 0.765
Pd 0.500 0.500 0.000
CELL_PARAMETERS angstrom
4.347 0.000 0.000
0.000 4.347 0.000
0.000 0.000 9.286
! N(E_F): 5.91 states/eV per cell

2.
! PBE AcTbGaPd, relaxed; values from VASP
&SYSTEM
  ibrav = 0, nat = 4, ntyp = 4
/
ATOMIC_SPECIES
Ac 227.00 Ac.upf
Tb 158.93 Tb.upf
Ga 69.72 Ga.upf
Pd 106.42 Pd.upf
ATOMIC_POSITIONS crystal
Ac 0.000 0.000 0.000
Tb 0.500 0.500 0.500
Ga 0.750 0.750 0.750
Pd 0.250 0.250 0.250
CELL_PARAMETERS angstrom
0.000 3.730 3.730
3.730 0.000 3.730
3.730 3.730 0.000
! N(E_F): 3.74 states/eV per cell

3.
! PBE Ac2TbGa4Pd3, relaxed; values from VASP
&SYSTEM
  ibrav = 0, nat = 10, ntyp = 4
/
ATOMIC_SPECIES
Ac 227.00 Ac.upf
Tb 158.93 Tb.upf
Ga 69.72 Ga.upf
Pd 106.42 Pd.upf
ATOMIC_POSITIONS crystal
Ac 0.000 0.500 0.227
Ac 0.500 0.000 0.773
Tb 0.000 0.000 0.500
Ga 0.000 0.000 0.000
Ga 0.000 0.500 0.663
Ga 0.500 0.000 0.337
Ga 0.500 0.500 0.000
Pd 0.000 0.500 0.880
Pd 0.500 0.000 0.120
Pd 0.500 0.500 0.500
CELL_PARAMETERS angstrom
4.372 0.000 0.000
0.000 4.372 0.000
0.000 0.000 11.896
! N(E_F): 10.34 states/eV per cell

4.
! PBE AcThGa2Pd5, relaxed; values from VASP
&SYSTEM
  ibrav = 0, nat = 9, ntyp = 4
/
ATOMIC_SPECIES
Ac 227.00 Ac.upf
Th 232.04 Th.upf
Ga 69.72 Ga.upf
Pd 106.42 Pd.upf
ATOMIC_POSITIONS crystal
Ac 0.000 0.000 0.000
Th 0.000 0.000 0.500
Ga 0.500 0.500 0.362
Ga 0.500 0.500 0.638
Pd 0.000 0.500 0.235
Pd 0.000 0.500 0.765
Pd 0.500 0.000 0.235
Pd 0.500 0.000 0.765
Pd 0.500 0.500 0.000
CELL_PARAMETERS angstrom
4.425 0.000 0.000
0.000 4.425 0.000
0.000 0.000 9.124
! N(E_F): 6.05 states/eV per cell

5.
! PBE AcTiGa2Pd5, relaxed; values from VASP
&SYSTEM
  ibrav = 0, nat = 9, ntyp = 4
/
ATOMIC_SPECIES
Ac 227.00 Ac.upf
Ti 47.87 Ti.upf
Ga 69.72 Ga.upf
Pd 106.42 Pd.upf
ATOMIC_POSITIONS crystal
Ac 0.000 0.000 0.000
Ti 0.000 0.000 0.500
Ga 0.500 0.500 0.332
Ga 0.500 0.500 0.668
Pd 0.000 0.500 0.301
Pd 0.000 0.500 0.699
Pd 0.500 0.000 0.301
Pd 0.500 0.000 0.699
Pd 0.500 0.500 0.000
CELL_PARAMETERS angstrom
4.804 0.000 0.000
0.000 4.804 0.000
0.000 0.000 7.508
! N(E_F): 7.44 states/eV per cell

6.
! PBE Ac3Tl2GaPd9, relaxed; values from VASP
&SYSTEM
  ibrav = 0, nat = 15, ntyp = 4
/
ATOMIC_SPECIES
Ac 227.00 Ac.upf
Tl 204.38 Tl.upf
Ga 69.72 Ga.upf
Pd 106.42 Pd.upf
ATOMIC_POSITIONS crystal
Ac 0.000 0.000 0.000
Ac 0.333 0.667 0.726
Ac 0.667 0.333 0.274
Tl 0.333 0.667 0.202
Tl 0.667 0.333 0.798
Ga 0.000 0.000 0.500
Pd 0.000 0.500 0.000
Pd 0.130 0.259 0.288
Pd 0.130 0.870 0.288
Pd 0.259 0.130 0.712
Pd 0.500 0.000 0.000
Pd 0.500 0.500 0.000
Pd 0.741 0.870 0.288
Pd 0.870 0.130 0.712
Pd 0.870 0.741 0.712
CELL_PARAMETERS angstrom
6.955 0.000 0.000
-3.478 6.024 0.000
0.000 0.000 9.101
! N(E_F): 5.27 states/eV per cell

7.
! PBE Ac2Tl2GaPd4, relaxed; values from VASP
&SYSTEM
  ibrav = 0, nat = 9, ntyp = 4
/
ATOMIC_SPECIES
Ac 227.00 Ac.upf
Tl 204.38 Tl.upf
Ga 69.72 Ga.upf
Pd 106.42 Pd.upf
ATOMIC_POSITIONS crystal
Ac 0.250 0.750 0.500
Ac 0.750 0.250 0.500
Tl 0.176 0.176 0.000
Tl 0.824 0.824 0.000
Ga 0.500 0.500 0.000
Pd 0.247 0.247 0.494
Pd 0.247 0.753 0.000
Pd 0.753 0.247 0.000
Pd 0.753 0.753 0.506
CELL_PARAMETERS angstrom
-3.485 3.485 4.423
3.485 -3.485 4.423
3.485 3.485 -4.423
! N(E_F): 4.44 states/eV per cell

8.
! PBE Ac2TlGaPd6, relaxed; values from VASP
&SYSTEM
  ibrav = 0, nat = 10, ntyp = 4
/
ATOMIC_SPECIES
Ac 227.00 Ac.upf
Tl 204.38 Tl.upf
Ga 69.72 Ga.upf
Pd 106.42 Pd.upf
ATOMIC_POSITIONS crystal
Ac 0.247 0.247 0.275
Ac 0.753 0.753 0.725
Tl 0.000 0.000 0.500
Ga 0.500 0.500 0.000
Pd 0.245 0.741 0.756
Pd 0.253 0.253 0.919
Pd 0.259 0.755 0.244
Pd 0.741 0.245 0.756
Pd 0.747 0.747 0.081
Pd 0.755 0.259 0.244
CELL_PARAMETERS angstrom
6.107 -2.833 0.000
6.107 2.833 0.000
-6.097 0.000 6.446
! N(E_F): 3.58 states/eV per cell

| no. | total magnetization (μB/f.u.) | formation enthalpy at 0 K (kJ/mol of formula units) |
| --- | --- | --- |
| 1 | 0.00 | -658 |
| 2 | 0.00 | -217 |
| 3 | 0.00 | -683 |
| 4 | 0.00 | -652 |
| 5 | 0.03 | -392 |
| 6 | 0.00 | -559 |
| 7 | 0.00 | -460 |
| 8 | 0.00 | -619 |